The following is a DFT calculation (GGA-PBE) of crystalline Tb5PrTl6 at its relaxed geometry.

Calculated values
Size of the total moment: 0.00 μB per cell
Energy of formation from the pure elements: -257 meV per atom
V: 30.26 A^3/atom

Lattice parameters (Å, degrees): 7.508 7.508 6.676 98.26 98.26 98.39
Fractional coordinates of all 12 atoms:
Tb1 0.000 0.000 0.000
Tb2 0.165 0.835 0.500
Tb3 0.334 0.666 0.000
Tb4 0.666 0.334 0.000
Tb5 0.835 0.165 0.500
Pr1 0.500 0.500 0.500
Tl1 0.076 0.418 0.245
Tl2 0.248 0.248 0.758
Tl3 0.418 0.076 0.245
Tl4 0.582 0.924 0.755
Tl5 0.752 0.752 0.242
Tl6 0.924 0.582 0.755